1.
This record from OQMD describes an optimized crystal structure of KZrNbSe3. The functional is PBE-GGA.

Unit cell a=8.727 b=3.800 c=10.246 alpha=90.00 beta=113.24 gamma=90.00
Space group P2_1/m (No. 11)
Inequivalent atoms, fractional coordinates:
K (0.033, 0.250, 0.278)
Zr (0.480, 0.250, 0.145)
Nb (0.481, 0.750, 0.396)
Se (0.247, 0.750, 0.146)
Se (0.290, 0.750, 0.549)
Se (0.300, 0.250, 0.863)

=====

2.
This record from OQMD describes an optimized crystal structure of KZrNbSe3. The functional is PBE-GGA.

Unit cell a=3.795 b=15.848 c=10.106 alpha=90.00 beta=90.00 gamma=90.00
Space group Cmcm (No. 63)
Inequivalent atoms, fractional coordinates:
K (0.000, 0.248, 0.250)
Zr (0.000, 0.000, 0.000)
Nb (0.000, 0.473, 0.750)
Se (0.000, 0.085, 0.750)
Se (0.000, 0.377, 0.551)

=====

Which of them is the most stable, and which is the least stable? 1 and 2, in that order.

=====

1.
This record from OQMD describes an optimized crystal structure of KNbTc. The functional is PBE-GGA.

Unit cell a=6.390 b=6.390 c=6.390 alpha=90.00 beta=90.00 gamma=90.00
Space group F-43m (No. 216)
Inequivalent atoms, fractional coordinates:
K (0.000, 0.000, 0.000)
Nb (0.250, 0.250, 0.750)
Tc (0.250, 0.250, 0.250)

=====

2.
This record from OQMD describes an optimized crystal structure of KNbTc. The functional is PBE-GGA.

Unit cell a=6.491 b=6.491 c=6.491 alpha=90.00 beta=90.00 gamma=90.00
Space group F-43m (No. 216)
Inequivalent atoms, fractional coordinates:
K (0.000, 0.000, 0.000)
Nb (0.000, 0.000, 0.500)
Tc (0.250, 0.250, 0.250)

=====

Which of them is the most stable, and which is the least stable? 2 and 1, in that order.

=====

1.
This record from OQMD describes an optimized crystal structure of KNdPO. The functional is PBE-GGA.

Unit cell a=5.173 b=7.176 c=6.355 alpha=90.00 beta=90.00 gamma=90.00
Space group Pmc2_1 (No. 26)
Inequivalent atoms, fractional coordinates:
K (0.000, 0.219, 0.000)
Nd (0.500, 0.182, 0.549)
P (0.000, 0.344, 0.488)
O (0.500, 0.081, 0.874)

=====

2.
This record from OQMD describes an optimized crystal structure of KNdPO. The functional is PBE-GGA.

Unit cell a=5.870 b=5.870 c=5.320 alpha=90.00 beta=90.00 gamma=90.00
Space group P4/nmm (No. 129, origin choice 2)
Inequivalent atoms, fractional coordinates:
K (0.250, 0.250, 0.005)
Nd (0.250, 0.750, 0.500)
P (0.250, 0.250, 0.505)
O (0.250, 0.750, 0.000)

=====

Which of them is the most stable, and which is the least stable? 1 and 2, in that order.

=====

1.
This record from OQMD describes an optimized crystal structure of KNdPO. The functional is PBE-GGA.

Unit cell a=3.597 b=7.837 c=7.739 alpha=90.00 beta=90.00 gamma=90.00
Space group Pmc2_1 (No. 26)
Inequivalent atoms, fractional coordinates:
K (0.000, 0.044, 0.000)
Nd (0.500, 0.376, 0.358)
P (0.500, 0.281, 0.722)
O (0.000, 0.241, 0.274)

=====

2.
This record from OQMD describes an optimized crystal structure of KNdPO. The functional is PBE-GGA.

Unit cell a=4.113 b=4.113 c=10.757 alpha=90.00 beta=90.00 gamma=90.00
Space group P4/nmm (No. 129, origin choice 2)
Inequivalent atoms, fractional coordinates:
K (0.250, 0.750, 0.000)
Nd (0.250, 0.250, 0.394)
P (0.250, 0.250, 0.778)
O (0.250, 0.750, 0.500)

=====

Which of them is the most stable, and which is the least stable? 1 and 2, in that order.

=====

1.
This record from OQMD describes an optimized crystal structure of KNdSO. The functional is PBE-GGA.

Unit cell a=5.863 b=5.867 c=11.355 alpha=90.00 beta=104.45 gamma=90.00
Space group P2_1 (No. 4)
Inequivalent atoms, fractional coordinates:
K (0.047, 0.000, 0.100)
K (0.453, 0.000, 0.900)
Nd (0.051, 0.264, 0.603)
Nd (0.449, 0.264, 0.396)
S (0.093, 0.500, 0.202)
S (0.406, 0.500, 0.798)
O (0.250, 0.015, 0.500)
O (0.250, 0.516, 0.500)

=====

2.
This record from OQMD describes an optimized crystal structure of KNdSO. The functional is PBE-GGA.

Unit cell a=4.156 b=4.156 c=9.957 alpha=90.00 beta=90.00 gamma=90.00
Space group P4/nmm (No. 129, origin choice 2)
Inequivalent atoms, fractional coordinates:
K (0.250, 0.750, 0.000)
Nd (0.250, 0.250, 0.388)
S (0.250, 0.250, 0.782)
O (0.250, 0.750, 0.500)

=====

Which of them is the most stable, and which is the least stable? 1 and 2, in that order.

=====

1.
This record from OQMD describes an optimized crystal structure of KNdSO. The functional is PBE-GGA.

Unit cell a=7.894 b=9.430 c=5.739 alpha=90.00 beta=90.00 gamma=90.00
Space group Pca2_1 (No. 29)
Inequivalent atoms, fractional coordinates:
K (0.112, 0.089, 0.000)
Nd (0.053, 0.653, 0.005)
S (0.091, 0.624, 0.505)
O (0.059, 0.150, 0.507)

=====

2.
This record from OQMD describes an optimized crystal structure of KNdSO. The functional is PBE-GGA.

Unit cell a=7.581 b=7.625 c=6.677 alpha=90.00 beta=104.28 gamma=90.00
Space group P2_1/c (No. 14)
Inequivalent atoms, fractional coordinates:
K (0.084, 0.244, 0.007)
Nd (0.465, 0.626, 0.266)
S (0.241, 0.586, 0.840)
O (0.392, 0.150, 0.880)

=====

3.
This record from OQMD describes an optimized crystal structure of KNdSO. The functional is PBE-GGA.

Unit cell a=4.608 b=8.054 c=6.525 alpha=90.00 beta=90.00 gamma=90.00
Space group Pmc2_1 (No. 26)
Inequivalent atoms, fractional coordinates:
K (0.000, 0.195, 0.000)
Nd (0.500, 0.364, 0.432)
S (0.000, 0.196, 0.519)
O (0.500, 0.398, 0.097)

=====

Which of them is the most stable, and which is the least stable? 2 and 1, in that order.

=====

1.
This record from OQMD describes an optimized crystal structure of KNdTeO. The functional is PBE-GGA.

Unit cell a=8.390 b=7.857 c=6.914 alpha=90.00 beta=97.32 gamma=90.00
Space group P2_1/c (No. 14)
Inequivalent atoms, fractional coordinates:
K (0.107, 0.182, 0.441)
Nd (0.476, 0.629, 0.784)
Te (0.224, 0.582, 0.378)
O (0.421, 0.147, 0.394)

=====

2.
This record from OQMD describes an optimized crystal structure of KNdTeO. The functional is PBE-GGA.

Unit cell a=4.915 b=8.531 c=6.946 alpha=90.00 beta=90.00 gamma=90.00
Space group Pmc2_1 (No. 26)
Inequivalent atoms, fractional coordinates:
K (0.000, 0.215, 0.000)
Nd (0.500, 0.385, 0.396)
Te (0.000, 0.192, 0.513)
O (0.500, 0.405, 0.079)

=====

3.
This record from OQMD describes an optimized crystal structure of KNdTeO. The functional is PBE-GGA.

Unit cell a=4.354 b=4.354 c=10.790 alpha=90.00 beta=90.00 gamma=90.00
Space group P4/nmm (No. 129, origin choice 2)
Inequivalent atoms, fractional coordinates:
K (0.250, 0.750, 0.000)
Nd (0.250, 0.250, 0.406)
Te (0.250, 0.250, 0.768)
O (0.250, 0.750, 0.500)

=====

Which of them is the most stable, and which is the least stable? 1 and 2, in that order.

=====

1.
This record from OQMD describes an optimized crystal structure of KNdPbSe3. The functional is PBE-GGA.

Unit cell a=18.765 b=4.386 c=9.892 alpha=90.00 beta=104.10 gamma=90.00
Space group C2/m (No. 12)
Inequivalent atoms, fractional coordinates:
K (0.144, 0.000, 0.071)
Nd (0.173, 0.000, 0.586)
Pb (0.008, 0.500, 0.719)
Se (0.000, 0.000, 0.500)
Se (0.000, 0.500, 0.000)
Se (0.169, 0.500, 0.376)
Se (0.170, 0.500, 0.788)

=====

2.
This record from OQMD describes an optimized crystal structure of KNdPbSe3. The functional is PBE-GGA.

Unit cell a=4.337 b=17.827 c=12.222 alpha=90.00 beta=90.00 gamma=90.00
Space group Cmcm (No. 63)
Inequivalent atoms, fractional coordinates:
K (0.000, 0.151, 0.250)
Nd (0.000, 0.500, 0.000)
Pb (0.000, 0.108, 0.750)
Se (0.000, 0.113, 0.505)
Se (0.000, 0.500, 0.250)

=====

Which of them is the most stable, and which is the least stable? 1 and 2, in that order.